1.
Below is a relaxed BaRhCl2 crystal, with properties calculated at the GGA-PBEsol level. Values from VASP.

```
&SYSTEM
  ibrav = 0, nat = 16, ntyp = 3
/
ATOMIC_SPECIES
Ba 137.33 Ba.upf
Rh 102.91 Rh.upf
Cl 35.45 Cl.upf
ATOMIC_POSITIONS crystal
Ba 0.000 0.000 0.000
Ba 0.000 0.500 0.500
Ba 0.500 0.000 0.500
Ba 0.500 0.500 0.000
Rh 0.000 0.000 0.500
Rh 0.000 0.500 0.000
Rh 0.500 0.000 0.000
Rh 0.500 0.500 0.500
Cl 0.250 0.250 0.250
Cl 0.250 0.250 0.750
Cl 0.250 0.750 0.250
Cl 0.250 0.750 0.750
Cl 0.750 0.250 0.250
Cl 0.750 0.250 0.750
Cl 0.750 0.750 0.250
Cl 0.750 0.750 0.750
CELL_PARAMETERS angstrom
7.082 0.000 0.000
0.000 7.082 0.000
0.000 0.000 7.082
```

DOS(E_F) = 1.289 states/eV per atom
Density = 5.82 g/cm³
Excess energy over the best structure of this formula in the dataset = 0 meV/atom
Energy relative to the elements, uncorrected = -0.7868 eV per atom

2.
Below is a relaxed CrSb3Pb4O13 crystal, with properties calculated at the GGA-PBEsol level. Values from VASP.

```
&SYSTEM
  ibrav = 0, nat = 21, ntyp = 4
/
ATOMIC_SPECIES
Cr 52.00 Cr.upf
Sb 121.76 Sb.upf
Pb 207.20 Pb.upf
O 16.00 O.upf
ATOMIC_POSITIONS crystal
Cr 0.000 0.000 0.000
Sb 0.000 0.000 0.502
Sb 0.000 0.502 0.000
Sb 0.502 0.000 0.000
Pb 0.008 0.499 0.499
Pb 0.498 0.498 0.498
Pb 0.499 0.008 0.499
Pb 0.499 0.499 0.008
O 0.070 0.070 0.682
O 0.070 0.682 0.070
O 0.073 0.679 0.679
O 0.324 0.928 0.928
O 0.325 0.325 0.926
O 0.325 0.926 0.325
O 0.625 0.625 0.625
O 0.679 0.073 0.679
O 0.679 0.679 0.073
O 0.682 0.070 0.070
O 0.926 0.325 0.325
O 0.928 0.324 0.928
O 0.928 0.928 0.324
CELL_PARAMETERS angstrom
3.722 2.149 5.980
-3.722 2.149 5.980
0.000 -4.298 5.980
```

DOS(E_F) = 0.149 states/eV per atom
Density = 8.41 g/cm³
Energy relative to the elements, uncorrected = -1.4524 eV per atom

3.
Below is a relaxed Zr4GeSb7 crystal, with properties calculated at the GGA-PBEsol level. Values from VASP.

```
&SYSTEM
  ibrav = 0, nat = 12, ntyp = 3
/
ATOMIC_SPECIES
Zr 91.22 Zr.upf
Ge 72.64 Ge.upf
Sb 121.76 Sb.upf
ATOMIC_POSITIONS crystal
Zr 0.000 0.000 0.000
Zr 0.014 0.500 0.505
Zr 0.494 0.000 0.171
Zr 0.515 0.500 0.680
Ge 0.391 0.000 0.884
Sb 0.143 0.500 0.800
Sb 0.189 0.500 0.189
Sb 0.322 0.000 0.489
Sb 0.620 0.500 0.385
Sb 0.679 0.500 0.979
Sb 0.827 0.000 0.696
Sb 0.888 0.000 0.293
CELL_PARAMETERS angstrom
7.265 0.000 0.000
0.000 3.930 0.000
-0.073 0.000 9.545
```

DOS(E_F) = 0.285 states/eV per atom
Density = 7.86 g/cm³
Energy relative to the elements, uncorrected = -0.6415 eV per atom

4.
Below is a relaxed LiRh3 crystal, with properties calculated at the GGA-PBEsol level. Values from VASP.

```
&SYSTEM
  ibrav = 0, nat = 12, ntyp = 2
/
ATOMIC_SPECIES
Li 6.94 Li.upf
Rh 102.91 Rh.upf
ATOMIC_POSITIONS crystal
Li 0.000 0.000 0.000
Li 0.333 0.667 0.667
Li 0.667 0.333 0.333
Rh 0.000 0.000 0.249
Rh 0.000 0.000 0.500
Rh 0.000 0.000 0.751
Rh 0.333 0.667 0.167
Rh 0.333 0.667 0.417
Rh 0.333 0.667 0.916
Rh 0.667 0.333 0.084
Rh 0.667 0.333 0.583
Rh 0.667 0.333 0.833
CELL_PARAMETERS angstrom
2.662 0.000 0.000
-1.331 2.305 0.000
0.000 0.000 26.198
```

DOS(E_F) = 1.161 states/eV per atom
Density = 9.78 g/cm³
ΔE_f = 0.006 eV per atom

5.
Below is a relaxed Ca2YRh crystal, with properties calculated at the GGA-PBEsol level. Values from VASP.

```
&SYSTEM
  ibrav = 0, nat = 8, ntyp = 3
/
ATOMIC_SPECIES
Ca 40.08 Ca.upf
Y 88.91 Y.upf
Rh 102.91 Rh.upf
ATOMIC_POSITIONS crystal
Ca 0.000 0.000 0.179
Ca 0.000 0.000 0.821
Ca 0.500 0.500 0.179
Ca 0.500 0.500 0.821
Y 0.000 0.500 0.500
Y 0.500 0.000 0.500
Rh 0.000 0.500 0.000
Rh 0.500 0.000 0.000
CELL_PARAMETERS angstrom
4.785 0.000 0.000
0.000 4.793 0.000
0.000 0.000 9.286
```

DOS(E_F) = 0.898 states/eV per atom
Density = 4.24 g/cm³
Excess energy over the best structure of this formula in the dataset = 230 meV/atom
ΔE_f = -0.074 eV per atom

6.
Below is a relaxed AgTe2 crystal, with properties calculated at the GGA-PBEsol level. Values from VASP.

```
&SYSTEM
  ibrav = 0, nat = 6, ntyp = 2
/
ATOMIC_SPECIES
Ag 107.87 Ag.upf
Te 127.60 Te.upf
ATOMIC_POSITIONS crystal
Ag 0.000 0.000 0.000
Ag 0.000 0.000 0.500
Te 0.333 0.667 0.127
Te 0.333 0.667 0.373
Te 0.667 0.333 0.627
Te 0.667 0.333 0.873
CELL_PARAMETERS angstrom
4.308 0.000 0.000
-2.154 3.731 0.000
0.000 0.000 11.134
```

DOS(E_F) = 0.479 states/eV per atom
Density = 6.74 g/cm³
Energy relative to the elements, uncorrected = 0.0308 eV per atom

7.
Below is a relaxed Sn3H2O4 crystal, with properties calculated at the GGA-PBEsol level. Values from VASP.

```
&SYSTEM
  ibrav = 0, nat = 36, ntyp = 3
/
ATOMIC_SPECIES
Sn 118.71 Sn.upf
H 1.01 H.upf
O 16.00 O.upf
ATOMIC_POSITIONS crystal
Sn 0.037 0.963 0.500
Sn 0.141 0.463 0.995
Sn 0.215 0.537 0.494
Sn 0.339 0.839 0.780
Sn 0.339 0.840 0.214
Sn 0.463 0.141 0.495
Sn 0.537 0.215 0.994
Sn 0.641 0.715 0.499
Sn 0.715 0.641 0.999
Sn 0.839 0.339 0.280
Sn 0.840 0.339 0.714
Sn 0.963 0.037 0.000
H 0.005 0.667 0.754
H 0.011 0.674 0.254
H 0.167 0.174 0.241
H 0.174 0.167 0.741
H 0.505 0.511 0.739
H 0.511 0.505 0.239
H 0.667 0.005 0.254
H 0.674 0.011 0.754
O 0.032 0.256 0.870
O 0.088 0.232 0.166
O 0.090 0.732 0.329
O 0.146 0.756 0.624
O 0.232 0.088 0.666
O 0.256 0.032 0.370
O 0.422 0.646 0.370
O 0.447 0.590 0.665
O 0.532 0.922 0.624
O 0.588 0.947 0.329
O 0.590 0.447 0.165
O 0.646 0.422 0.870
O 0.732 0.090 0.829
O 0.756 0.146 0.124
O 0.922 0.532 0.124
O 0.947 0.588 0.829
CELL_PARAMETERS angstrom
5.472 -5.471 0.000
5.472 5.471 0.000
-0.004 0.000 8.925
```

DOS(E_F) = 0.000 states/eV per atom
Density = 5.25 g/cm³

8.
Below is a relaxed LiHg2Ru crystal, with properties calculated at the GGA-PBEsol level. Values from VASP.

```
&SYSTEM
  ibrav = 0, nat = 8, ntyp = 3
/
ATOMIC_SPECIES
Li 6.94 Li.upf
Hg 200.59 Hg.upf
Ru 101.07 Ru.upf
ATOMIC_POSITIONS crystal
Li 0.000 0.000 0.000
Li 0.500 0.500 0.500
Hg 0.000 0.000 0.500
Hg 0.000 0.500 0.750
Hg 0.500 0.000 0.250
Hg 0.500 0.500 0.000
Ru 0.000 0.500 0.250
Ru 0.500 0.000 0.750
CELL_PARAMETERS angstrom
3.955 0.000 0.000
0.000 3.955 0.000
0.000 0.000 8.532
```

DOS(E_F) = 0.558 states/eV per atom
Density = 12.67 g/cm³
Excess energy over the best structure of this formula in the dataset = 198 meV/atom
ΔE_f = 0.205 eV per atom

9.
Below is a relaxed Li2CdSe crystal, with properties calculated at the GGA-PBEsol level. Values from VASP.

```
&SYSTEM
  ibrav = 0, nat = 8, ntyp = 3
/
ATOMIC_SPECIES
Li 6.94 Li.upf
Cd 112.41 Cd.upf
Se 78.96 Se.upf
ATOMIC_POSITIONS crystal
Li 0.000 0.000 0.000
Li 0.000 0.500 0.180
Li 0.500 0.000 0.680
Li 0.500 0.500 0.500
Cd 0.000 0.000 0.366
Cd 0.500 0.500 0.866
Se 0.000 0.500 0.659
Se 0.500 0.000 0.159
CELL_PARAMETERS angstrom
3.285 0.000 0.000
0.000 3.915 0.000
0.000 0.000 12.503
```

DOS(E_F) = 0.249 states/eV per atom
Density = 4.24 g/cm³
Energy relative to the elements, uncorrected = -0.5696 eV per atom

10.
Below is a relaxed KH7C4O10 crystal, with properties calculated at the GGA-PBEsol level. Values from VASP.

```
&SYSTEM
  ibrav = 0, nat = 44, ntyp = 4
/
ATOMIC_SPECIES
K 39.10 K.upf
H 1.01 H.upf
C 12.01 C.upf
O 16.00 O.upf
ATOMIC_POSITIONS crystal
K 0.154 0.158 0.270
K 0.846 0.842 0.730
H 0.106 0.286 0.941
H 0.112 0.682 0.192
H 0.150 0.813 0.046
H 0.227 0.184 0.599
H 0.253 0.958 0.555
H 0.351 0.049 0.727
H 0.368 0.562 0.740
H 0.632 0.438 0.260
H 0.649 0.951 0.273
H 0.747 0.042 0.445
H 0.773 0.816 0.401
H 0.850 0.187 0.954
H 0.888 0.318 0.808
H 0.894 0.714 0.059
C 0.234 0.675 0.407
C 0.274 0.553 0.529
C 0.418 0.981 0.932
C 0.484 0.454 0.065
C 0.516 0.546 0.935
C 0.582 0.019 0.068
C 0.726 0.447 0.471
C 0.766 0.325 0.593
O 0.049 0.771 0.113
O 0.180 0.576 0.296
O 0.211 0.368 0.512
O 0.226 0.047 0.631
O 0.229 0.877 0.925
O 0.257 0.859 0.426
O 0.313 0.330 0.065
O 0.355 0.483 0.837
O 0.365 0.655 0.638
O 0.492 0.060 0.838
O 0.508 0.940 0.162
O 0.635 0.345 0.362
O 0.645 0.517 0.163
O 0.687 0.670 0.935
O 0.743 0.141 0.574
O 0.771 0.123 0.075
O 0.774 0.953 0.369
O 0.789 0.632 0.488
O 0.820 0.424 0.704
O 0.951 0.229 0.887
CELL_PARAMETERS angstrom
6.335 0.000 0.000
-1.313 6.765 0.000
-2.167 -0.827 10.140
```

DOS(E_F) = 0.000 states/eV per atom
Density = 1.94 g/cm³

11.
Below is a relaxed Mg2Be3Tl2F12 crystal, with properties calculated at the GGA-PBEsol level. Values from VASP.

```
&SYSTEM
  ibrav = 0, nat = 76, ntyp = 4
/
ATOMIC_SPECIES
Mg 24.30 Mg.upf
Be 9.01 Be.upf
Tl 204.38 Tl.upf
F 19.00 F.upf
ATOMIC_POSITIONS crystal
Mg 0.104 0.104 0.104
Mg 0.165 0.335 0.665
Mg 0.335 0.665 0.165
Mg 0.396 0.896 0.604
Mg 0.604 0.396 0.896
Mg 0.665 0.165 0.335
Mg 0.835 0.835 0.835
Mg 0.896 0.604 0.396
Be 0.021 0.792 0.124
Be 0.124 0.021 0.792
Be 0.208 0.624 0.479
Be 0.292 0.376 0.979
Be 0.376 0.979 0.292
Be 0.479 0.208 0.624
Be 0.521 0.708 0.876
Be 0.624 0.479 0.208
Be 0.708 0.876 0.521
Be 0.792 0.124 0.021
Be 0.876 0.521 0.708
Be 0.979 0.292 0.376
Tl 0.045 0.955 0.455
Tl 0.182 0.682 0.818
Tl 0.318 0.318 0.318
Tl 0.455 0.045 0.955
Tl 0.545 0.545 0.545
Tl 0.682 0.818 0.182
Tl 0.818 0.182 0.682
Tl 0.955 0.455 0.045
F 0.007 0.439 0.728
F 0.014 0.940 0.173
F 0.049 0.201 0.269
F 0.060 0.673 0.486
F 0.061 0.272 0.507
F 0.100 0.168 0.749
F 0.168 0.749 0.100
F 0.173 0.014 0.940
F 0.201 0.269 0.049
F 0.228 0.493 0.561
F 0.231 0.951 0.701
F 0.249 0.400 0.832
F 0.251 0.600 0.332
F 0.269 0.049 0.201
F 0.272 0.507 0.061
F 0.299 0.731 0.549
F 0.327 0.986 0.440
F 0.332 0.251 0.600
F 0.400 0.832 0.249
F 0.439 0.728 0.007
F 0.440 0.327 0.986
F 0.451 0.799 0.769
F 0.486 0.060 0.673
F 0.493 0.561 0.228
F 0.507 0.061 0.272
F 0.514 0.560 0.827
F 0.549 0.299 0.731
F 0.560 0.827 0.514
F 0.561 0.228 0.493
F 0.600 0.332 0.251
F 0.668 0.751 0.900
F 0.673 0.486 0.060
F 0.701 0.231 0.951
F 0.728 0.007 0.439
F 0.731 0.549 0.299
F 0.749 0.100 0.168
F 0.751 0.900 0.668
F 0.769 0.451 0.799
F 0.772 0.993 0.939
F 0.799 0.769 0.451
F 0.827 0.514 0.560
F 0.832 0.249 0.400
F 0.900 0.668 0.751
F 0.939 0.772 0.993
F 0.940 0.173 0.014
F 0.951 0.701 0.231
F 0.986 0.440 0.327
F 0.993 0.939 0.772
CELL_PARAMETERS angstrom
9.966 0.000 0.000
0.000 9.966 0.000
0.000 0.000 9.966
```

DOS(E_F) = 0.000 states/eV per atom
Density = 4.78 g/cm³
Energy relative to the elements, uncorrected = -3.0618 eV per atom

12.
Below is a relaxed Sc2CoPb crystal, with properties calculated at the GGA-PBEsol level. Values from VASP.

```
&SYSTEM
  ibrav = 0, nat = 8, ntyp = 3
/
ATOMIC_SPECIES
Sc 44.96 Sc.upf
Co 58.93 Co.upf
Pb 207.20 Pb.upf
ATOMIC_POSITIONS crystal
Sc 0.000 0.000 0.206
Sc 0.000 0.000 0.794
Sc 0.500 0.500 0.294
Sc 0.500 0.500 0.706
Co 0.000 0.500 0.500
Co 0.500 0.000 0.000
Pb 0.000 0.500 0.000
Pb 0.500 0.000 0.500
CELL_PARAMETERS angstrom
3.715 0.000 0.000
0.000 4.864 0.000
0.000 0.000 8.347
```

DOS(E_F) = 0.726 states/eV per atom
Density = 7.84 g/cm³
ΔE_f = -0.227 eV per atom

13.
Below is a relaxed CrSb3Ir crystal, with properties calculated at the GGA-PBEsol level. Values from VASP.

```
&SYSTEM
  ibrav = 0, nat = 5, ntyp = 3
/
ATOMIC_SPECIES
Cr 52.00 Cr.upf
Sb 121.76 Sb.upf
Ir 192.22 Ir.upf
ATOMIC_POSITIONS crystal
Cr 0.000 0.000 0.000
Sb 0.000 0.500 0.500
Sb 0.500 0.000 0.500
Sb 0.500 0.500 0.000
Ir 0.500 0.500 0.500
CELL_PARAMETERS angstrom
5.133 0.000 0.000
0.000 5.133 0.000
0.000 0.000 5.133
```

DOS(E_F) = 0.800 states/eV per atom
Density = 7.48 g/cm³
Energy relative to the elements, uncorrected = 0.8966 eV per atom

14.
Below is a relaxed La2OsPbW crystal, with properties calculated at the GGA-PBEsol level. Values from VASP.

```
&SYSTEM
  ibrav = 0, nat = 5, ntyp = 4
/
ATOMIC_SPECIES
La 138.91 La.upf
Os 190.23 Os.upf
Pb 207.20 Pb.upf
W 183.84 W.upf
ATOMIC_POSITIONS crystal
La 0.000 0.500 0.000
La 0.500 0.000 0.000
Os 0.000 0.000 0.500
Pb 0.000 0.000 0.000
W 0.500 0.500 0.500
CELL_PARAMETERS angstrom
5.834 0.000 0.000
0.000 5.834 0.000
0.000 0.000 4.862
```

DOS(E_F) = 0.810 states/eV per atom
Density = 8.62 g/cm³
ΔE_f = 2.034 eV per atom

15.
Below is a relaxed NbPtW2Au crystal, with properties calculated at the GGA-PBEsol level. Values from VASP.

```
&SYSTEM
  ibrav = 0, nat = 5, ntyp = 4
/
ATOMIC_SPECIES
Nb 92.91 Nb.upf
Pt 195.08 Pt.upf
W 183.84 W.upf
Au 196.97 Au.upf
ATOMIC_POSITIONS crystal
Nb 0.000 0.000 0.000
Pt 0.500 0.500 0.000
W 0.000 0.500 0.500
W 0.500 0.000 0.500
Au 0.500 0.500 0.500
CELL_PARAMETERS angstrom
4.724 0.000 0.000
0.000 4.724 0.000
0.000 0.000 4.753
```

DOS(E_F) = 1.293 states/eV per atom
Density = 13.35 g/cm³
ΔE_f = 2.302 eV per atom

16.
Below is a relaxed SrGe2P2 crystal, with properties calculated at the GGA-PBEsol level. Values from VASP.

```
&SYSTEM
  ibrav = 0, nat = 10, ntyp = 3
/
ATOMIC_SPECIES
Sr 87.62 Sr.upf
Ge 72.64 Ge.upf
P 30.97 P.upf
ATOMIC_POSITIONS crystal
Sr 0.000 0.000 0.000
Sr 0.500 0.500 0.500
Ge 0.000 0.500 0.250
Ge 0.000 0.500 0.750
Ge 0.500 0.000 0.250
Ge 0.500 0.000 0.750
P 0.000 0.000 0.414
P 0.000 0.000 0.586
P 0.500 0.500 0.086
P 0.500 0.500 0.914
CELL_PARAMETERS angstrom
4.058 0.000 0.000
0.000 4.058 0.000
0.000 0.000 12.657
```

DOS(E_F) = 0.390 states/eV per atom
Density = 4.70 g/cm³
ΔE_f = -0.254 eV per atom

17.
Below is a relaxed YMg2Cu crystal, with properties calculated at the GGA-PBEsol level. Values from VASP.

```
&SYSTEM
  ibrav = 0, nat = 8, ntyp = 3
/
ATOMIC_SPECIES
Y 88.91 Y.upf
Mg 24.30 Mg.upf
Cu 63.55 Cu.upf
ATOMIC_POSITIONS crystal
Y 0.250 0.250 0.074
Y 0.750 0.750 0.926
Mg 0.250 0.003 0.629
Mg 0.250 0.497 0.629
Mg 0.750 0.503 0.371
Mg 0.750 0.997 0.371
Cu 0.250 0.750 0.240
Cu 0.750 0.250 0.760
CELL_PARAMETERS angstrom
4.524 0.000 0.000
0.000 5.754 0.000
0.000 0.000 6.470
```

DOS(E_F) = 0.824 states/eV per atom
Density = 3.96 g/cm³
ΔE_f = -0.068 eV per atom

18.
Below is a relaxed TcHg2P crystal, with properties calculated at the GGA-PBEsol level. Values from VASP.

```
&SYSTEM
  ibrav = 0, nat = 4, ntyp = 3
/
ATOMIC_SPECIES
Tc 98.00 Tc.upf
Hg 200.59 Hg.upf
P 30.97 P.upf
ATOMIC_POSITIONS crystal
Tc 0.000 0.000 0.000
Hg 0.000 0.500 0.500
Hg 0.500 0.000 0.500
P 0.500 0.500 0.000
CELL_PARAMETERS angstrom
3.351 0.000 0.000
0.000 4.257 0.000
0.000 0.000 4.822
```

DOS(E_F) = 0.894 states/eV per atom
Density = 12.80 g/cm³
ΔE_f = 0.650 eV per atom

Results for DFT total energy: -69.80 -138.65 -80.90 -79.07 -39.04 -20.54 -204.66 -24.90 -22.52 -282.22 -407.99 -51.71 -29.25 -30.55 -37.82 -49.14 -29.73 -15.59 (in eV for the cell shown, following the order of the records).